Arrangement one

# meta-GGA SCAN Ba2Na2O3, PBEsol geometry
# Spin magnetization (μB per cell): 0.00
# Theoretical density (g/cm³): 4.58
data_Ba2Na2O3
_cell_length_a 7.0036
_cell_length_b 7.0036
_cell_length_c 10.8930
_cell_angle_alpha 90.00
_cell_angle_beta 90.00
_cell_angle_gamma 90.00
_symmetry_space_group_name_H-M 'P 43 21 2'
_symmetry_Int_Tables_number 96
loop_
_symmetry_equiv_pos_as_xyz
'x,y,z'
'-y+1/2,x+1/2,z+3/4'
'-x,-y,z+1/2'
'y+1/2,-x+1/2,z+1/4'
'x+1/2,-y+1/2,-z+1/4'
'-y,-x,-z+1/2'
'-x+1/2,y+1/2,-z+3/4'
'y,x,-z'
loop_
_atom_site_label
_atom_site_type_symbol
_atom_site_fract_x
_atom_site_fract_y
_atom_site_fract_z
Ba1 Ba 0.0307 0.2253 0.3554
Na1 Na 0.0385 0.2633 0.8995
O1 O 0.0198 0.2625 0.1219
O2 O 0.1843 0.8157 0.2500

---

Arrangement two

# meta-GGA SCAN Ba2Na2O3, PBEsol geometry
# Spin magnetization (μB per cell): 0.00
# Theoretical density (g/cm³): 4.69
data_Ba2Na2O3
_cell_length_a 8.4151
_cell_length_b 5.4479
_cell_length_c 5.9141
_cell_angle_alpha 90.00
_cell_angle_beta 105.89
_cell_angle_gamma 90.00
_symmetry_space_group_name_H-M 'P 1 21/c 1'
_symmetry_Int_Tables_number 14
loop_
_symmetry_equiv_pos_as_xyz
'x,y,z'
'-x,-y,-z'
'-x,y+1/2,-z+1/2'
'x,-y+1/2,z+1/2'
loop_
_atom_site_label
_atom_site_type_symbol
_atom_site_fract_x
_atom_site_fract_y
_atom_site_fract_z
Ba1 Ba 0.1679 0.0325 0.2958
Na1 Na 0.4250 0.6322 0.3093
O1 O 0.1675 0.5241 0.3536
O2 O 0.5000 0.0000 0.5000

---

Most stable = arrangement two

---

Arrangement one

# meta-GGA SCAN Ba2NaTl2, PBEsol geometry
# Spin magnetization (μB per cell): 0.00
# Theoretical density (g/cm³): 6.10
data_Ba2NaTl2
_cell_length_a 9.6327
_cell_length_b 9.6327
_cell_length_c 4.1480
_cell_angle_alpha 90.00
_cell_angle_beta 90.00
_cell_angle_gamma 90.00
_symmetry_space_group_name_H-M 'P 4/m b m'
_symmetry_Int_Tables_number 127
_symmetry_space_group_name_Hall '-P 4 2ab'
loop_
_atom_site_label
_atom_site_type_symbol
_atom_site_fract_x
_atom_site_fract_y
_atom_site_fract_z
Ba1 Ba 0.1716 0.3283 0.0000
Na1 Na 0.0000 0.0000 0.5000
Tl1 Tl 0.1237 0.6237 0.5000

---

Arrangement two

# meta-GGA SCAN Ba2NaTl2, PBEsol geometry
# Spin magnetization (μB per cell): 0.00
# Theoretical density (g/cm³): 5.59
data_Ba2NaTl2
_cell_length_a 6.7100
_cell_length_b 6.7100
_cell_length_c 9.3202
_cell_angle_alpha 90.00
_cell_angle_beta 90.00
_cell_angle_gamma 90.00
_symmetry_space_group_name_H-M 'I 4/m m m'
_symmetry_Int_Tables_number 139
_symmetry_space_group_name_Hall '-I 4 2'
loop_
_atom_site_label
_atom_site_type_symbol
_atom_site_fract_x
_atom_site_fract_y
_atom_site_fract_z
Ba1 Ba 0.0000 0.5000 0.2500
Na1 Na 0.0000 0.0000 0.0000
Tl1 Tl 0.0000 0.0000 0.3498

---

Most stable = arrangement one

---

Arrangement one

# meta-GGA SCAN Ba2NaZn2, PBEsol geometry
# Spin magnetization (μB per cell): 0.00
# Theoretical density (g/cm³): 4.15
data_Ba2NaZn2
_cell_length_a 8.8551
_cell_length_b 8.8551
_cell_length_c 4.3779
_cell_angle_alpha 90.00
_cell_angle_beta 90.00
_cell_angle_gamma 90.00
_symmetry_space_group_name_H-M 'P 4/m b m'
_symmetry_Int_Tables_number 127
_symmetry_space_group_name_Hall '-P 4 2ab'
loop_
_atom_site_label
_atom_site_type_symbol
_atom_site_fract_x
_atom_site_fract_y
_atom_site_fract_z
Ba1 Ba 0.1767 0.3233 0.0000
Na1 Na 0.0000 0.0000 0.5000
Zn1 Zn 0.1101 0.6101 0.5000

---

Arrangement two

# meta-GGA SCAN Ba2NaZn2, PBEsol geometry
# Spin magnetization (μB per cell): 0.00
# Theoretical density (g/cm³): 3.92
data_Ba2NaZn2
_cell_length_a 4.0407
_cell_length_b 4.0407
_cell_length_c 22.2289
_cell_angle_alpha 90.00
_cell_angle_beta 90.00
_cell_angle_gamma 90.00
_symmetry_space_group_name_H-M 'I 4/m m m'
_symmetry_Int_Tables_number 139
_symmetry_space_group_name_Hall '-I 4 2'
loop_
_atom_site_label
_atom_site_type_symbol
_atom_site_fract_x
_atom_site_fract_y
_atom_site_fract_z
Ba1 Ba 0.0000 0.0000 0.1317
Na1 Na 0.0000 0.0000 0.5000
Zn1 Zn 0.0000 0.5000 0.2500

---

Most stable = arrangement one

---

Arrangement one

# meta-GGA SCAN Ba4Nb3Se12, PBEsol geometry
# Spin magnetization (μB per cell): 0.00
# Theoretical density (g/cm³): 6.01
data_Ba4Nb3Se12
_cell_length_a 5.8725
_cell_length_b 6.8391
_cell_length_c 12.2094
_cell_angle_alpha 90.00
_cell_angle_beta 90.69
_cell_angle_gamma 90.00
_symmetry_space_group_name_H-M 'P 1 2/m 1'
_symmetry_Int_Tables_number 10
loop_
_symmetry_equiv_pos_as_xyz
'x,y,z'
'-x,-y,-z'
'-x,y,-z'
'x,-y,z'
loop_
_atom_site_label
_atom_site_type_symbol
_atom_site_fract_x
_atom_site_fract_y
_atom_site_fract_z
Ba1 Ba 0.2430 0.0000 0.3446
Ba2 Ba 0.2457 0.5000 0.8145
Nb1 Nb 0.0000 0.0000 0.0000
Nb2 Nb 0.0000 0.5000 0.5000
Nb3 Nb 0.5000 0.0000 0.0000
Se1 Se 0.2460 0.0000 0.8230
Se2 Se 0.2520 0.2691 0.0876
Se3 Se 0.2551 0.5000 0.3293
Se4 Se 0.2630 0.2396 0.5838

---

Arrangement two

# meta-GGA SCAN Ba4Nb3Se12, PBEsol geometry
# Spin magnetization (μB per cell): 0.00
# Theoretical density (g/cm³): 5.97
data_Ba4Nb3Se12
_cell_length_a 16.9787
_cell_length_b 6.8482
_cell_length_c 11.8056
_cell_angle_alpha 90.00
_cell_angle_beta 133.96
_cell_angle_gamma 90.00
_symmetry_space_group_name_H-M 'C 1 2/m 1'
_symmetry_Int_Tables_number 12
loop_
_symmetry_equiv_pos_as_xyz
'x,y,z'
'-x,-y,-z'
'-x,y,-z'
'x,-y,z'
'x+1/2,y+1/2,z'
'-x+1/2,-y+1/2,-z'
'-x+1/2,y+1/2,-z'
'x+1/2,-y+1/2,z'
loop_
_atom_site_label
_atom_site_type_symbol
_atom_site_fract_x
_atom_site_fract_y
_atom_site_fract_z
Ba1 Ba 0.1672 0.0000 0.2985
Ba2 Ba 0.1690 0.0000 0.7954
Nb1 Nb 0.0000 0.5000 0.0000
Nb2 Nb 0.0008 0.5000 0.7211
Se1 Se 0.0850 0.2372 0.9561
Se2 Se 0.0876 0.2355 0.4707
Se3 Se 0.1704 0.5000 0.2987
Se4 Se 0.1748 0.5000 0.7930

---

Most stable = arrangement two

---

Arrangement one

# meta-GGA SCAN BaNd2S4, PBEsol geometry
# Spin magnetization (μB per cell): 0.00
# Theoretical density (g/cm³): 5.07
data_BaNd2S4
_cell_length_a 11.7221
_cell_length_b 4.1936
_cell_length_c 14.7658
_cell_angle_alpha 90.00
_cell_angle_beta 90.00
_cell_angle_gamma 90.00
_symmetry_space_group_name_H-M 'P n m a'
_symmetry_Int_Tables_number 62
loop_
_symmetry_equiv_pos_as_xyz
'x,y,z'
'-x,-y,-z'
'-x+1/2,-y,z+1/2'
'x+1/2,y,-z+1/2'
'x+1/2,-y+1/2,-z+1/2'
'-x+1/2,y+1/2,z+1/2'
'-x,y+1/2,-z'
'x,-y+1/2,z'
loop_
_atom_site_label
_atom_site_type_symbol
_atom_site_fract_x
_atom_site_fract_y
_atom_site_fract_z
Ba1 Ba 0.2371 0.2500 0.1578
Nd1 Nd 0.0622 0.7500 0.3903
Nd2 Nd 0.1051 0.7500 0.9019
S1 S 0.0020 0.7500 0.7195
S2 S 0.0591 0.7500 0.0858
S3 S 0.1491 0.2500 0.5088
S4 S 0.2240 0.2500 0.8155

---

Arrangement two

# meta-GGA SCAN BaNd2S4, PBEsol geometry
# Spin magnetization (μB per cell): 0.00
# Theoretical density (g/cm³): 5.56
data_BaNd2S4
_cell_length_a 8.7155
_cell_length_b 8.7155
_cell_length_c 8.7153
_cell_angle_alpha 90.00
_cell_angle_beta 90.00
_cell_angle_gamma 90.00
_symmetry_space_group_name_H-M 'I -4 2 d'
_symmetry_Int_Tables_number 122
_symmetry_space_group_name_Hall 'I -4 2bw'
loop_
_atom_site_label
_atom_site_type_symbol
_atom_site_fract_x
_atom_site_fract_y
_atom_site_fract_z
Ba1 Ba 0.0000 0.0000 0.0000
Nd1 Nd 0.1250 0.2500 0.6250
S1 S 0.0799 0.1661 0.3127

---

Most stable = arrangement one

---

Arrangement one

# meta-GGA SCAN BaReNi2, PBEsol geometry
# Spin magnetization (μB per cell): 1.85
# Theoretical density (g/cm³): 9.13
data_BaReNi2
_cell_length_a 4.0971
_cell_length_b 5.6322
_cell_length_c 6.9504
_cell_angle_alpha 90.00
_cell_angle_beta 90.00
_cell_angle_gamma 90.00
_symmetry_space_group_name_H-M 'I m m m'
_symmetry_Int_Tables_number 71
_symmetry_space_group_name_Hall '-I 2 2'
loop_
_atom_site_label
_atom_site_type_symbol
_atom_site_fract_x
_atom_site_fract_y
_atom_site_fract_z
Ba1 Ba 0.0000 0.0000 0.0000
Re1 Re 0.0000 0.0000 0.5000
Ni1 Ni 0.0000 0.5000 0.1762

---

Arrangement two

# meta-GGA SCAN BaReNi2, PBEsol geometry
# Spin magnetization (μB per cell): 0.00
# Theoretical density (g/cm³): 10.39
data_BaReNi2
_cell_length_a 2.8964
_cell_length_b 3.3513
_cell_length_c 7.2579
_cell_angle_alpha 90.00
_cell_angle_beta 90.00
_cell_angle_gamma 90.00
_symmetry_space_group_name_H-M 'P m m m'
_symmetry_Int_Tables_number 47
loop_
_symmetry_equiv_pos_as_xyz
'x,y,z'
'-x,-y,-z'
'-x,-y,z'
'x,y,-z'
'x,-y,-z'
'-x,y,z'
'-x,y,-z'
'x,-y,z'
loop_
_atom_site_label
_atom_site_type_symbol
_atom_site_fract_x
_atom_site_fract_y
_atom_site_fract_z
Ba1 Ba 0.0000 0.0000 0.0000
Re1 Re 0.0000 0.0000 0.5000
Ni1 Ni 0.5000 0.5000 0.3343

---

Arrangement three

# meta-GGA SCAN BaReNi2, PBEsol geometry
# Spin magnetization (μB per cell): 15.32
# Theoretical density (g/cm³): 10.37
data_BaReNi2
_cell_length_a 6.5607
_cell_length_b 6.5607
_cell_length_c 6.5607
_cell_angle_alpha 90.00
_cell_angle_beta 90.00
_cell_angle_gamma 90.00
_symmetry_space_group_name_H-M 'F m -3 m'
_symmetry_Int_Tables_number 225
_symmetry_space_group_name_Hall '-F 4 2 3'
loop_
_atom_site_label
_atom_site_type_symbol
_atom_site_fract_x
_atom_site_fract_y
_atom_site_fract_z
Ba1 Ba 0.0000 0.0000 0.0000
Re1 Re 0.0000 0.0000 0.5000
Ni1 Ni 0.2500 0.2500 0.2500

---

Most stable = arrangement two